Computed, not measured: TcHg3Cl after structural relaxation at the PBE-GGA level of DFT.

* relative energy among the computed polymorphs: 0.000 eV per atom
* magnetic moment: 3.22 μB per cell
* density: 7.6 g cm⁻³
* raw total energy: -2.1121 eV/atom

Lattice parameters (Å, degrees): 5.431 5.431 5.431 90.00 90.00 90.00
Space group Pm-3m (No. 221)
Asymmetric unit:
Tc 0.000 0.000 0.000 x1
Hg 0.000 0.000 0.500 x3
Cl 0.500 0.500 0.500 x1